(1)
Density functional theory data (PBE) for a geometry-optimized ThCdInCu structure.

Lattice parameters (Å, degrees): 5.052 5.052 5.052 60.00 60.00 60.00
Sites, in units of the cell vectors:
Cd 0.500 0.500 0.500
Cu 0.000 0.000 0.000
Th 0.750 0.750 0.750
In 0.250 0.250 0.250

## Properties
N(E_F): 1.9 states/eV per cell
Calculated formation energy: -0.41 eV per formula unit
Final energy: -15.6 eV for the cell shown


(2)
Density functional theory data (PBE) for a geometry-optimized TlCdIn2Cu structure.

Lattice parameters (Å, degrees): 5.078 5.078 5.418 90.00 90.00 90.00
Sites, in units of the cell vectors:
Tl 0.000 0.000 0.500
Cd 0.500 0.500 0.500
Cu 0.000 0.000 0.000
In 0.000 0.500 0.000
In 0.500 0.000 0.000

## Properties
Energy relative to the lowest polymorph listed for this composition: 57 meV per atom
N(E_F): 2.9 states/eV per cell
Calculated formation energy: 0.89 eV per formula unit
Final energy: -12.0 eV for the cell shown


(3)
Density functional theory data (PBE) for a geometry-optimized TlCd2InCu structure.

Lattice parameters (Å, degrees): 5.084 5.084 5.230 90.00 90.00 90.00
Sites, in units of the cell vectors:
Tl 0.000 0.000 0.500
Cd 0.000 0.500 0.000
Cd 0.500 0.000 0.000
Cu 0.000 0.000 0.000
In 0.500 0.500 0.500

## Properties
Energy relative to the lowest polymorph listed for this composition: 69 meV per atom
N(E_F): 1.5 states/eV per cell
Calculated formation energy: 0.95 eV per formula unit
Final energy: -10.1 eV for the cell shown


(4)
Density functional theory data (PBE) for a geometry-optimized TlCdIn2Cu structure.

Lattice parameters (Å, degrees): 5.137 5.137 5.110 90.00 90.00 90.00
Sites, in units of the cell vectors:
Tl 0.500 0.500 0.500
Cd 0.000 0.000 0.500
Cu 0.000 0.000 0.000
In 0.000 0.500 0.000
In 0.500 0.000 0.000

## Properties
Energy relative to the lowest polymorph listed for this composition: 0 meV per atom
N(E_F): 2.5 states/eV per cell
Calculated formation energy: 0.60 eV per formula unit
Final energy: -12.3 eV for the cell shown


| no. | total magnetic moment (μB per cell) |
| --- | --- |
| 1 | 0.00 |
| 2 | 0.00 |
| 3 | 0.00 |
| 4 | 0.00 |